No. 1
# KMo2Ru

Crystalline KMo2Ru at its relaxed geometry (PBE-GGA, the Alexandria database).

The total magnetization comes out at 0.001 μB/f.u. Its formation energy from the elements is 545.2 kJ/mol of formula units.

The space group is Cmmm (No. 65) and the conventional cell measures 5.4647, 10.0283 and 2.6147 Å, with angles of 90.00, 90.00 and 90.00 degrees. The asymmetric unit holds K at (0.0000, 0.0000, 0.0000), Mo at (0.2500, 0.2500, 0.5000) and Ru at (0.0000, 0.5000, 0.0000).


No. 2
# ZnPRhSe

Crystalline ZnPRhSe at its relaxed geometry (PBE-GGA, the Alexandria database).

The calculation puts the raw formation energy at -0.310 eV/atom. The total magnetization comes out at 0.000 μB/f.u.

The space group is R3m (No. 160, hexagonal axes) and the conventional cell measures 3.7073, 3.7073 and 19.1366 Å, with angles of 90.00, 90.00 and 120.00 degrees. The asymmetric unit holds Zn at (0.0000, 0.0000, 0.0000), P at (0.0000, 0.0000, 0.1415), Rh at (0.0000, 0.0000, 0.4317) and Se at (0.0000, 0.0000, 0.2715).


No. 3
# TbSc2Tl

Crystalline TbSc2Tl at its relaxed geometry (PBE-GGA, the Alexandria database).

The total magnetization comes out at 1.321 μB/f.u. Its formation energy from the elements is -69.5 kJ/mol of formula units.

The space group is P4/mmm (No. 123) and the conventional cell measures 4.6570, 4.6570 and 4.6341 Å, with angles of 90.00, 90.00 and 90.00 degrees. The asymmetric unit holds Tb at (0.0000, 0.0000, 0.0000), Sc at (0.0000, 0.5000, 0.5000) and Tl at (0.5000, 0.5000, 0.0000).


No. 4
# V2CrOs

Crystalline V2CrOs at its relaxed geometry (PBE-GGA, the Alexandria database).

The total magnetization comes out at 0.446 μB/f.u. Its formation energy from the elements is 240.5 kJ/mol of formula units.

The space group is I-42d (No. 122) and the conventional cell measures 3.4671, 3.4671 and 18.9532 Å, with angles of 90.00, 90.00 and 90.00 degrees. The asymmetric unit holds V at (0.2457, 0.2500, 0.1250), Cr at (0.0000, 0.0000, 0.0000) and Os at (0.0000, 0.0000, 0.5000).


Number 1: ΔE to the lowest computed polymorph 683 meV/atom. Number 2: ΔE to the lowest computed polymorph 73 meV/atom. Number 3: ΔE to the lowest computed polymorph 1 meV/atom. Number 4: ΔE to the lowest computed polymorph 924 meV/atom.